DFT (PBE-GGA) results for a relaxed LaPmGdLu crystal.

The structure in POSCAR format:
```
LaPmGdLu
1.0
-1.8582 -3.0052 4.5395
-1.6670 -5.4664 -0.6564
3.2152 -4.2640 2.1381
Gd Lu La Pm
1 1 1 1
Direct
0.0000 0.0000 0.0000 Gd
0.5000 0.5000 0.5000 Lu
0.2500 0.2500 0.2500 La
0.7500 0.7500 0.7500 Pm
```

**ΔH_f (0 K)**: 0.093 eV per atom
**Crystal system**: cubic
**Space group**: F-43m, No. 216

DFT (PBE-GGA) results for a relaxed Ti2GeH2 crystal.

The structure in POSCAR format:
```
Ti2GeH2
1.0
-0.9430 3.0618 -0.1121
-3.0638 -0.9414 0.0591
-1.9650 1.2637 5.2103
H Ge Ti
2 1 2
Direct
0.7500 0.2500 0.5000 H
0.2500 0.7500 0.5000 H
0.0000 0.0000 0.0000 Ge
0.3616 0.3616 0.2767 Ti
0.6384 0.6384 0.7233 Ti
```

**Crystal system**: tetragonal
**Space group**: I4/mmm, No. 139

DFT (PBE-GGA) results for a relaxed ScPdCl3 crystal.

The structure in POSCAR format:
```
ScPdCl3
1.0
-0.7764 -4.5767 1.5706
-0.5622 -1.4946 -4.6331
4.8059 -0.9142 -0.2883
Sc Pd Cl
1 1 3
Direct
0.5000 0.5000 0.5000 Sc
0.0000 0.0000 0.0000 Pd
0.0000 0.5000 0.0000 Cl
0.0000 0.0000 0.5000 Cl
0.5000 0.0000 0.0000 Cl
```

**Crystal system**: cubic
**Space group**: Pm-3m, No. 221
**Uncorrected formation energy**: -0.400 eV per atom

DFT (PBE-GGA) results for a relaxed NdHo2Ag6 crystal.

The structure in POSCAR format:
```
NdHo2Ag6
1.0
-5.0456 -0.2609 -1.7162
1.4033 -4.8739 -7.3764
-1.7932 -8.3897 2.5559
Nd Ho Ag
2 4 12
Direct
0.2500 0.1250 0.8750 Nd
0.7500 0.8750 0.1250 Nd
0.4123 0.5431 0.7899 Ho
0.0877 0.2101 0.4569 Ho
0.5877 0.4569 0.2101 Ho
0.9123 0.7899 0.5431 Ho
0.4682 0.6747 0.4350 Ag
0.0318 0.5650 0.3253 Ag
0.5318 0.3253 0.5650 Ag
0.9682 0.4350 0.6747 Ag
0.6429 0.1003 0.3544 Ag
0.8571 0.6456 0.8997 Ag
0.3571 0.8997 0.6456 Ag
0.1429 0.3544 0.1003 Ag
0.3065 0.7510 0.0168 Ag
0.1935 0.9832 0.2490 Ag
0.6935 0.2490 0.9832 Ag
0.8065 0.0168 0.7510 Ag
```

**ΔH_f (0 K)**: -0.190 eV per atom
**Crystal system**: monoclinic
**Space group**: C2/c, No. 15

DFT (PBE-GGA) results for a relaxed ZrP4Br crystal.

The structure in POSCAR format:
```
ZrP4Br
1.0
0.0000 3.7664 3.7664
3.7664 0.0000 3.7664
3.7664 3.7664 0.0000
Zr P Br
1 4 1
Direct
0.2500 0.2500 0.2500 Zr
0.6116 0.6116 0.1652 P
0.6116 0.1652 0.6116 P
0.6116 0.6116 0.6116 P
0.1652 0.6116 0.6116 P
0.0000 0.0000 0.0000 Br
```

**Crystal system**: cubic
**Space group**: F-43m, No. 216
**Uncorrected formation energy**: 0.194 eV per atom

DFT (PBE-GGA) results for a relaxed NbTeO3 crystal.

The structure in POSCAR format:
```
NbTeO3
1.0
-3.4468 0.6163 -2.0798
1.9506 -0.8274 -3.4780
-0.9488 -3.9397 0.4051
Nb Te O
1 1 3
Direct
0.0000 0.0000 0.0000 Nb
0.5000 0.5000 0.5000 Te
0.0000 0.5000 0.0000 O
0.0000 0.0000 0.5000 O
0.5000 0.0000 0.0000 O
```

**Crystal system**: cubic
**Space group**: Pm-3m, No. 221
**Uncorrected formation energy**: -1.270 eV per atom

DFT (PBE-GGA) results for a relaxed Ca2As2Pd crystal.

The structure in POSCAR format:
```
Ca2As2Pd
1.0
7.0784 0.0000 0.0000
0.0000 7.0784 0.0000
0.0000 0.0000 4.3398
As Ca Pd
4 4 2
Direct
0.3673 0.8673 0.0000 As
0.8673 0.6327 0.0000 As
0.6327 0.1327 0.0000 As
0.1327 0.3673 0.0000 As
0.1731 0.6731 0.5000 Ca
0.6731 0.8269 0.5000 Ca
0.8269 0.3269 0.5000 Ca
0.3269 0.1731 0.5000 Ca
0.0000 0.0000 0.0000 Pd
0.5000 0.5000 0.0000 Pd
```

**ΔH_f (0 K)**: -0.906 eV per atom
**Crystal system**: tetragonal
**Space group**: P4/mbm, No. 127

DFT (PBE-GGA) results for a relaxed HgRu crystal.

The structure in POSCAR format:
```
HgRu
1.0
2.8214 0.0000 0.0000
0.0000 4.0284 0.0000
0.0000 0.0000 6.7962
Hg Ru
2 2
Direct
0.0000 0.0000 0.0000 Hg
0.0000 0.5000 0.3333 Hg
0.5000 0.0000 0.5739 Ru
0.5000 0.5000 0.7594 Ru
```

**ΔH_f (0 K)**: 0.615 eV per atom
**Crystal system**: orthorhombic
**Space group**: Pmma, No. 51

DFT (PBE-GGA) results for a relaxed HoTaAl2 crystal.

The structure in POSCAR format:
```
HoTaAl2
1.0
3.0561 0.0000 0.0000
1.5280 2.6466 0.0000
1.5280 0.8822 9.8812
Al Ho Ta
2 1 1
Direct
0.7425 0.7425 0.7724 Al
0.2575 0.2575 0.2276 Al
0.5000 0.5000 0.5000 Ho
0.0000 0.0000 0.0000 Ta
```

**ΔH_f (0 K)**: 0.011 eV per atom
**Crystal system**: trigonal
**Space group**: R-3m, No. 166

DFT (PBE-GGA) results for a relaxed TbSn2Pd8 crystal.

The structure in POSCAR format:
```
TbSn2Pd8
1.0
4.8088 -0.3404 -0.5109
-1.3098 7.1066 -0.5125
-1.3098 -3.2100 6.3610
Tb Sn Pd
1 2 8
Direct
0.5000 0.0000 0.0000 Tb
0.0000 0.3104 0.6896 Sn
0.0000 0.6896 0.3104 Sn
0.8700 0.9101 0.6773 Pd
0.8700 0.6773 0.9101 Pd
0.3146 0.5866 0.5866 Pd
0.5000 0.7763 0.2237 Pd
0.5000 0.2237 0.7763 Pd
0.6854 0.4134 0.4134 Pd
0.1300 0.3227 0.0899 Pd
0.1300 0.0899 0.3227 Pd
```

**ΔH_f (0 K)**: -0.489 eV per atom
**Crystal system**: monoclinic
**Space group**: C2/m, No. 12

DFT (PBE-GGA) results for a relaxed Cs3Tl3Pd crystal.

The structure in POSCAR format:
```
Cs3Tl3Pd
1.0
8.5573 0.3688 -0.6864
-2.9457 8.0428 -0.6864
-0.0477 -0.0715 9.6766
Cs Tl Pd
6 6 2
Direct
0.3504 0.3504 0.6906 Cs
0.1924 0.8076 0.5000 Cs
0.8076 0.1924 0.5000 Cs
0.2702 0.7298 0.0000 Cs
0.7298 0.2702 0.0000 Cs
0.6496 0.6496 0.3094 Cs
0.0095 0.0095 0.8227 Tl
0.3933 0.1632 0.2717 Tl
0.1632 0.3933 0.2717 Tl
0.6067 0.8368 0.7283 Tl
0.8368 0.6067 0.7283 Tl
0.9905 0.9905 0.1773 Tl
0.2206 0.2206 0.0340 Pd
0.7794 0.7794 0.9660 Pd
```

**ΔH_f (0 K)**: -0.060 eV per atom
**Crystal system**: monoclinic
**Space group**: C2/m, No. 12

DFT (PBE-GGA) results for a relaxed PdCCl2 crystal.

The structure in POSCAR format:
```
PdCCl2
1.0
5.2520 0.0000 0.0000
0.0000 5.2520 0.0000
2.6260 2.6260 5.7604
C Pd Cl
2 2 4
Direct
0.5000 0.5000 0.0000 C
0.2500 0.7500 0.5000 C
0.0000 0.0000 0.0000 Pd
0.7500 0.2500 0.5000 Pd
0.5750 0.1250 0.2500 Cl
0.1750 0.6250 0.2500 Cl
0.3750 0.4250 0.7500 Cl
0.8750 0.8250 0.7500 Cl
```

**Crystal system**: tetragonal
**Space group**: I-42d, No. 122
**Uncorrected formation energy**: 1.377 eV per atom

no.,total magnetic moment (μB/f.u.),total DFT energy (no corrections) (eV per atom)
1,7.8,-6.98
2,1.0,-5.86
3,0.2,-3.81
4,0.0,-3.64
5,0.0,-5.12
6,0.0,-6.89
7,0.0,-4.60
8,0.0,-4.17
9,0.0,-5.97
10,0.0,-5.41
11,0.0,-2.18
12,0.0,-3.15